{"formula": "LaTc2Ni", "functional": "PBE", "state": "optimized geometry", "de_polymorph_ev_per_atom": 0.522, "lattice": [[2.201, -3.960, -0.292], [0.164, -2.776, 3.589], [-2.331, -3.896, -0.035]], "species": ["Ni", "Tc", "Tc", "La"], "frac_coords": [[0.000, 0.000, 0.000], [0.250, 0.250, 0.250], [0.750, 0.750, 0.750], [0.500, 0.500, 0.500]]}